Below is a crystal of K2MgCl4 relaxed with PBEsol, with properties calculated at the SCAN level.

Unit cell a=4.9246 b=4.9246 c=8.4685 alpha=106.90 beta=106.90 gamma=90.00
With the nearest neighbours (Å) after each atom.
Atoms (fractional coordinates):
K 0.3586 0.3586 0.7173  5 Cl 3.06-3.29
K 0.6414 0.6414 0.2827  5 Cl 3.06-3.29
Mg 0.0000 0.0000 0.0000  6 Cl 2.46-2.48
Cl 0.1605 0.1605 0.3210  1 Mg 2.48
Cl 0.8395 0.8395 0.6790  1 Mg 2.48
Cl 0.5000 0.0000 0.0000  2 Mg 2.46
Cl 0.0000 0.5000 0.0000  2 Mg 2.46

Computed properties:
Density of states at the Fermi level, states/eV/atom: 0.00
Formation energy without anion corrections, eV/atom: -2.161
Theoretical density, g cm⁻³: 2.2